1.
An optimized crystal structure of Hf2NiPtPb2. Source: the Open Quantum Materials Database, functional GGA-PBE.

Uncorrected energy, eV/atom: -6.9709
Total moment, μB per cell: 0.00
SG: Pm

The structure in extended XYZ format:
```
24
Lattice="-6.646 3.364 -2.265 -2.083 -3.964 0.225 -1.283 1.512 14.749" Properties=species:S:1:pos:R:3 pbc="T T T"
Pb -0.635 0.477 2.524
Pb -3.175 2.410 13.052
Pb -2.404 -0.702 10.045
Pb -5.022 0.195 1.608
Pb -5.991 3.417 4.734
Pb -4.514 2.873 8.822
Pb -7.739 2.219 12.104
Pb -3.710 -0.246 5.986
Hf -4.657 2.409 -0.670
Hf -1.946 1.470 7.872
Hf -3.321 1.955 3.699
Hf -2.363 -1.260 0.591
Hf -6.338 1.183 6.835
Hf -4.973 0.707 11.074
Hf -7.271 4.379 9.821
Hf -7.704 1.664 2.673
Pt -5.641 1.206 13.687
Pt -3.028 -0.758 3.287
Pt -5.332 2.918 2.038
Pt -6.987 1.673 9.447
Ni -1.687 -1.222 7.510
Ni -3.965 2.439 6.253
Ni -1.280 1.509 14.717
Ni -2.602 1.962 10.466
```

=====

2.
An optimized crystal structure of HfScNiPb. Source: the Open Quantum Materials Database, functional GGA-PBE.

Total moment, μB per cell: 2.70
SG: F-43m
Energy above the lowest structure with this stoichiometry, meV/atom: 0

The structure in extended XYZ format:
```
4
Lattice="0.000 3.403 3.403 3.403 0.000 3.403 3.403 3.403 0.000" Properties=species:S:1:pos:R:3 pbc="T T T"
Pb 0.000 0.000 0.000
Hf 3.403 3.403 3.403
Sc 1.702 1.702 1.702
Ni 5.105 5.105 5.105
```

=====

3.
An optimized crystal structure of Hf2SiNi2Pb. Source: the Open Quantum Materials Database, functional GGA-PBE.

Uncorrected energy, eV/atom: -7.2200
Total moment, μB per cell: 0.01
SG: Pm

The structure in extended XYZ format:
```
24
Lattice="-4.269 0.706 -9.432 3.700 -1.045 -1.753 -1.048 -9.715 3.580" Properties=species:S:1:pos:R:3 pbc="T T T"
Si -0.670 -8.754 -1.288
Si -0.792 -7.295 2.678
Si -1.472 -6.168 -4.524
Si -2.283 -3.578 -7.779
Pb 1.188 -1.645 -1.605
Pb -2.405 -2.093 -3.829
Pb -4.250 -9.161 -3.511
Pb -1.587 -4.697 -0.550
Hf -2.104 -9.432 1.180
Hf -2.902 -6.944 -1.987
Hf -4.511 -1.773 -8.465
Hf -0.964 -1.299 -6.355
Hf -0.192 -3.984 -3.123
Hf -3.776 -4.409 -5.344
Hf 0.677 -6.595 0.267
Hf -2.768 -8.251 -6.018
Ni -2.736 -4.633 -3.015
Ni 0.123 -1.330 -4.040
Ni -5.287 -8.812 -5.908
Ni -2.540 -5.956 -6.904
Ni -3.525 -2.029 -6.232
Ni -1.664 -8.469 -3.557
Ni -1.847 -7.174 0.378
Ni 0.981 -4.122 -0.564
```

=====

4.
An optimized crystal structure of Hf2Ni2SnPb. Source: the Open Quantum Materials Database, functional GGA-PBE.

Uncorrected energy, eV/atom: -6.9361
Total moment, μB per cell: 0.01
SG: Pm

The structure in extended XYZ format:
```
24
Lattice="-9.244 -3.035 -4.336 2.111 -2.869 -2.492 2.026 -5.971 8.590" Properties=species:S:1:pos:R:3 pbc="T T T"
Ni -2.921 -8.521 3.544
Ni -5.769 -7.824 0.329
Ni -0.779 -5.256 5.390
Ni -6.454 -3.805 -1.086
Ni -3.638 -4.538 2.142
Ni -2.171 -3.299 -1.833
Ni 0.696 -4.045 1.455
Ni -7.224 -8.976 4.214
Hf -5.934 -5.279 1.051
Hf -3.097 -5.995 4.278
Hf -4.473 -4.078 -2.885
Hf 1.182 -5.553 3.602
Hf -0.289 -6.714 7.484
Hf -8.724 -4.529 -2.175
Hf -1.662 -4.825 0.355
Hf -5.262 -9.295 2.451
Sn -6.269 -6.333 -1.811
Sn -0.639 -7.794 4.640
Sn -3.459 -7.065 1.412
Sn -7.724 -7.511 2.103
Pb 0.154 -2.559 -0.716
Pb -4.908 -8.245 5.334
Pb -4.119 -3.014 -0.020
Pb -1.295 -3.748 3.218
```

=====

5.
An optimized crystal structure of HfNiPbW. Source: the Open Quantum Materials Database, functional GGA-PBE.

Uncorrected energy, eV/atom: -7.3665
Total moment, μB per cell: 0.09
SG: F-43m

The structure in extended XYZ format:
```
4
Lattice="-0.001 -1.346 4.501 -3.945 -1.627 1.964 -0.376 -4.554 1.090" Properties=species:S:1:pos:R:3 pbc="T T T"
Hf -1.080 -1.882 1.889
W -2.161 -3.764 3.777
Pb 0.000 0.000 0.000
Ni -3.241 -5.646 5.666
```

=====

6.
An optimized crystal structure of HfZnNiPb. Source: the Open Quantum Materials Database, functional GGA-PBE.

Uncorrected energy, eV/atom: -4.9338
Total moment, μB per cell: 0.01
SG: F-43m

The structure in extended XYZ format:
```
4
Lattice="1.163 -3.208 3.214 -3.329 -2.619 2.010 -0.326 -4.564 -1.019" Properties=species:S:1:pos:R:3 pbc="T T T"
Hf -0.623 -2.598 1.051
Zn -1.246 -5.196 2.102
Pb 0.000 0.000 0.000
Ni -1.869 -7.794 3.154
```

=====

7.
An optimized crystal structure of HfZrNi2Pb2. Source: the Open Quantum Materials Database, functional GGA-PBE.

Uncorrected energy, eV/atom: -6.5336
Total moment, μB per cell: 0.02
SG: Pm

The structure in extended XYZ format:
```
24
Lattice="8.804 0.000 0.000 0.000 4.401 0.000 -4.401 0.000 12.451" Properties=species:S:1:pos:R:3 pbc="T T T"
Pb 4.402 0.000 1.557
Pb 0.006 0.000 7.778
Pb 2.197 2.201 10.887
Pb 4.398 0.000 7.778
Pb 6.603 2.201 4.673
Pb -2.194 2.201 10.894
Pb 0.000 0.000 1.565
Pb 2.202 2.201 4.674
Ni 0.002 2.201 12.435
Ni 6.603 0.000 3.130
Ni -2.188 0.000 9.344
Ni 0.012 2.201 6.217
Ni 4.391 2.201 6.218
Ni 0.000 2.201 0.000
Ni 2.191 0.000 9.329
Ni 2.202 0.000 3.130
Zr 4.404 0.000 10.895
Zr -2.201 2.201 7.781
Zr 6.604 2.201 1.555
Zr 2.201 2.201 1.557
Hf 4.403 0.000 4.669
Hf 0.001 0.000 10.894
Hf 0.000 0.000 4.670
Hf 2.202 2.201 7.782
```

=====

8.
An optimized crystal structure of Hf3Ni4Pd4. Source: the Open Quantum Materials Database, functional GGA-PBE.

Total moment, μB per cell: 0.00
Formation energy, eV/atom: -0.350
SG: Pm
Energy above the lowest structure with this stoichiometry, meV/atom: 0

The structure in extended XYZ format:
```
11
Lattice="6.346 0.000 0.000 0.000 3.552 0.000 -0.311 0.000 7.822" Properties=species:S:1:pos:R:3 pbc="T T T"
Pd 0.549 0.000 6.834
Pd 4.590 0.000 5.252
Pd 5.139 1.776 0.308
Pd 1.821 1.776 3.138
Hf 0.455 0.000 1.608
Hf 3.711 0.000 2.254
Hf 2.575 1.776 5.666
Ni 0.570 0.000 4.339
Ni 2.228 1.776 0.603
Ni 3.099 0.000 7.383
Ni 5.391 1.776 3.267
```